DFT (PBE) results for PmPrPt2 after structural relaxation.

a b c (Å): 3.9313 4.5671 5.7921
angles (deg): 90.00 109.83 90.00
Sites, in units of the cell vectors:
1 Pt 0.1696 0.5000 0.8788
2 Pm 0.4463 0.5000 0.4314
3 Pt 0.9949 0.0000 0.5282
4 Pr 0.7202 0.0000 0.9796

Formation energy from the elements, meV/atom: -1149
Crystal system: orthorhombic
Total moment, μB per formula unit: 0.0

=====

DFT (PBE) results for PmPrPt after structural relaxation.

a b c (Å): 7.6964 7.6964 9.6984
angles (deg): 90.00 90.00 120.00
Sites, in units of the cell vectors:
1 Pm 0.9988 0.5932 0.2500
2 Pt 0.3333 0.6667 0.9973
3 Pt 0.0000 0.0000 0.2500
4 Pr 0.2633 0.0000 0.5000
5 Pt 0.6667 0.3333 0.0027
6 Pt 0.0000 0.0000 0.7500
7 Pm 0.4056 0.4068 0.7500
8 Pt 0.6667 0.3333 0.4973
9 Pr 0.7367 0.7367 0.5000
10 Pm 0.4068 0.4056 0.2500
11 Pr 0.2633 0.0000 0.0000
12 Pm 0.5944 0.0012 0.2500
13 Pr 0.0000 0.2633 0.0000
14 Pm 0.0012 0.5944 0.7500
15 Pr 0.7367 0.7367 0.0000
16 Pt 0.3333 0.6667 0.5027
17 Pm 0.5932 0.9988 0.7500
18 Pr 0.0000 0.2633 0.5000

Formation energy from the elements, meV/atom: -731
Crystal system: hexagonal
Total moment, μB per formula unit: 0.0